1.
The following is a DFT calculation (PBE) of crystalline Hf3InTe at its relaxed geometry.

Computed properties:
D(E_F): 5.31 states/eV per cell
Distance to the lowest polymorph of the same formula: 837 meV per atom
Total energy: -6.347 eV per atom

Lattice parameters (Å, degrees): 5.2094 5.2094 5.2094 90.00 90.00 90.00
Space group Pm-3m (No. 221)
Symmetry-distinct sites (fractional):
Hf1 0.0000 0.0000 0.5000 (multiplicity 3)
In1 0.5000 0.5000 0.5000 (multiplicity 1)
Te1 0.0000 0.0000 0.0000 (multiplicity 1)



2.
The following is a DFT calculation (PBE) of crystalline SbTe2RhO at its relaxed geometry.

Computed properties:
D(E_F): 3.40 states/eV per cell
Distance to the lowest polymorph of the same formula: 0 meV per atom
Total energy: -4.222 eV per atom

Lattice parameters (Å, degrees): 4.7556 4.7556 4.6463 90.00 90.00 90.00
Space group P4/mmm (No. 123)
Symmetry-distinct sites (fractional):
Sb1 0.0000 0.0000 0.0000 (multiplicity 1)
Te1 0.0000 0.5000 0.5000 (multiplicity 2)
Rh1 0.5000 0.5000 0.0000 (multiplicity 1)
O1 0.0000 0.0000 0.5000 (multiplicity 1)



3.
The following is a DFT calculation (PBE) of crystalline SrY5Se6 at its relaxed geometry.

Computed properties:
D(E_F): 11.16 states/eV per cell
Total energy: -6.369 eV per atom

Lattice parameters (Å, degrees): 7.1438 12.3894 7.1895 90.00 109.40 90.00
Space group C2/m (No. 12)
Symmetry-distinct sites (fractional):
Sr1 0.0000 0.0000 0.0000 (multiplicity 2)
Y1 0.0000 0.1611 0.5000 (multiplicity 4)
Y2 0.0000 0.3329 0.0000 (multiplicity 4)
Y3 0.0000 0.5000 0.5000 (multiplicity 2)
Se1 0.2413 0.5000 0.2506 (multiplicity 4)
Se2 0.2430 0.3288 0.7423 (multiplicity 8)



In order of appearance, E_form (uncorrected) = 0.80; 0.32; -1.79 eV per atom.